Here is a relaxed structure of Tb7Pm2Dy3 from Alexandria via LeMat-Bulk. Energies are from PBE.

Cell: 19.1637 19.1637 3.6126 Å, 90.00 90.00 162.86°
Element x y z (fractional)
1 Tb 0.0000 0.0000 0.0000
2 Tb 0.0713 0.9287 0.5000
3 Tb 0.2308 0.7692 0.0000
4 Tb 0.4098 0.5902 0.0000
5 Tb 0.5902 0.4098 0.0000
6 Tb 0.7692 0.2308 0.0000
7 Tb 0.9287 0.0713 0.5000
8 Pm 0.1475 0.8525 0.0000
9 Pm 0.8525 0.1475 0.0000
10 Dy 0.3144 0.6856 0.5000
11 Dy 0.5000 0.5000 0.5000
12 Dy 0.6856 0.3144 0.5000

Energy relative to the lowest polymorph listed for this composition ... 0.43 eV/f.u.
Theoretical density ... 8.03 g/cm3
Crystal system ... orthorhombic
Total energy ... -4.534 eV per atom
Calculated formation energy ... 110 meV/atom
Density of states at the Fermi level ... 18.10 states/eV/cell
Spin magnetization ... 0.0000 μB per atom

=====

Here is a relaxed structure of Tb12Pm6Dy from Alexandria via LeMat-Bulk. Energies are from PBE.

Cell: 8.6012 8.6012 8.6012 Å, 91.60 91.60 91.60°
Element x y z (fractional)
1 Tb 0.0274 0.9669 0.2913
2 Tb 0.0331 0.7087 0.9726
3 Tb 0.1215 0.4353 0.3582
4 Tb 0.2913 0.0274 0.9669
5 Tb 0.3582 0.1215 0.4352
6 Tb 0.4352 0.3582 0.1215
7 Tb 0.5648 0.6418 0.8785
8 Tb 0.6418 0.8785 0.5648
9 Tb 0.7087 0.9726 0.0331
10 Tb 0.8785 0.5648 0.6418
11 Tb 0.9669 0.2913 0.0274
12 Tb 0.9726 0.0331 0.7087
13 Pm 0.2255 0.3670 0.7565
14 Pm 0.2435 0.7745 0.6330
15 Pm 0.3670 0.7565 0.2255
16 Pm 0.6330 0.2435 0.7745
17 Pm 0.7565 0.2255 0.3670
18 Pm 0.7745 0.6330 0.2435
19 Dy 0.5000 0.5000 0.5000

Energy relative to the lowest polymorph listed for this composition ... 0.00 eV/f.u.
Theoretical density ... 7.68 g/cm3
Crystal system ... trigonal
Total energy ... -4.495 eV per atom
Calculated formation energy ... 172 meV/atom
Density of states at the Fermi level ... 35.61 states/eV/cell
Spin magnetization ... 0.0001 μB per atom

=====

Here is a relaxed structure of Tb12PmDy2 from Alexandria via LeMat-Bulk. Energies are from PBE.

Cell: 6.6413 6.6413 24.4222 Å, 92.25 92.25 115.08°
Element x y z (fractional)
1 Tb 0.0520 0.5459 0.2019
2 Tb 0.0805 0.5833 0.3298
3 Tb 0.1382 0.6381 0.5555
4 Tb 0.1429 0.1429 0.5742
5 Tb 0.2166 0.2166 0.8602
6 Tb 0.2332 0.7329 0.9257
7 Tb 0.2671 0.7668 0.0743
8 Tb 0.2825 0.2825 0.1365
9 Tb 0.3568 0.3568 0.4251
10 Tb 0.3619 0.8618 0.4445
11 Tb 0.4167 0.9195 0.6702
12 Tb 0.4541 0.9480 0.7981
13 Tb 0.5459 0.0520 0.2019
14 Tb 0.5833 0.0805 0.3298
15 Tb 0.6381 0.1382 0.5555
16 Tb 0.6432 0.6432 0.5749
17 Tb 0.7175 0.7175 0.8635
18 Tb 0.7329 0.2332 0.9257
19 Tb 0.7668 0.2671 0.0743
20 Tb 0.7834 0.7834 0.1398
21 Tb 0.8571 0.8571 0.4258
22 Tb 0.8618 0.3619 0.4445
23 Tb 0.9195 0.4167 0.6702
24 Tb 0.9480 0.4541 0.7981
25 Pm 0.2497 0.2497 0.9987
26 Pm 0.7503 0.7503 0.0013
27 Dy 0.0686 0.0686 0.2724
28 Dy 0.4344 0.4344 0.7276
29 Dy 0.5656 0.5656 0.2724
30 Dy 0.9314 0.9314 0.7276

Theoretical density ... 8.11 g/cm3
Crystal system ... monoclinic
Total energy ... -4.524 eV per atom
Calculated formation energy ... 110 meV/atom
Density of states at the Fermi level ... 46.88 states/eV/cell
Spin magnetization ... 0.0000 μB per atom

=====

Here is a relaxed structure of Tb5Pm6Dy from Alexandria via LeMat-Bulk. Energies are from PBE.

Cell: 9.5320 9.5320 9.5320 Å, 148.97 115.55 73.25°
Element x y z (fractional)
1 Tb 0.0000 0.0000 0.0000
2 Tb 0.1667 0.6667 0.5000
3 Tb 0.3335 0.3335 0.0000
4 Tb 0.6665 0.6665 0.0000
5 Tb 0.8333 0.3333 0.5000
6 Pm 0.0835 0.8334 0.2501
7 Pm 0.2501 0.5000 0.7501
8 Pm 0.4167 0.1666 0.2501
9 Pm 0.5833 0.8334 0.7499
10 Pm 0.7499 0.5000 0.2499
11 Pm 0.9165 0.1666 0.7499
12 Dy 0.5000 0.0000 0.5000

Energy relative to the lowest polymorph listed for this composition ... 0.04 eV/f.u.
Theoretical density ... 7.65 g/cm3
Crystal system ... orthorhombic
Total energy ... -4.673 eV per atom
Calculated formation energy ... 15 meV/atom
Density of states at the Fermi level ... 16.97 states/eV/cell
Spin magnetization ... 0.0000 μB per atom

=====

Here is a relaxed structure of Tb3Pm3Dy2 from Alexandria via LeMat-Bulk. Energies are from PBE.

Cell: 5.0742 5.0749 20.2975 Å, 90.00 90.00 90.00°
Element x y z (fractional)
1 Tb 0.0000 0.0000 0.0000
2 Tb 0.0000 0.5000 0.1263
3 Tb 0.0000 0.5000 0.8737
4 Tb 0.5000 0.0000 0.3737
5 Tb 0.5000 0.0000 0.6263
6 Tb 0.5000 0.5000 0.5000
7 Pm 0.0000 0.0000 0.5000
8 Pm 0.0000 0.5000 0.3745
9 Pm 0.0000 0.5000 0.6255
10 Pm 0.5000 0.0000 0.1255
11 Pm 0.5000 0.0000 0.8745
12 Pm 0.5000 0.5000 0.0000
13 Dy 0.0000 0.0000 0.2504
14 Dy 0.0000 0.0000 0.7496
15 Dy 0.5000 0.5000 0.2496
16 Dy 0.5000 0.5000 0.7504

Energy relative to the lowest polymorph listed for this composition ... 0.00 eV/f.u.
Theoretical density ... 7.86 g/cm3
Crystal system ... orthorhombic
Total energy ... -4.651 eV per atom
Calculated formation energy ... 17 meV/atom
Density of states at the Fermi level ... 23.64 states/eV/cell
Spin magnetization ... 0.0000 μB per atom

=====

Here is a relaxed structure of Tb4Pm4Dy3 from Alexandria via LeMat-Bulk. Energies are from PBE.

Cell: 10.9236 10.9236 10.9236 Å, 161.24 117.59 65.79°
Element x y z (fractional)
1 Tb 0.0748 0.8294 0.2454
2 Tb 0.4160 0.1706 0.2454
3 Tb 0.5840 0.8294 0.7546
4 Tb 0.9252 0.1706 0.7546
5 Pm 0.2170 0.7170 0.5000
6 Pm 0.2884 0.0000 0.2884
7 Pm 0.7116 0.0000 0.7116
8 Pm 0.7830 0.2830 0.5000
9 Dy 0.0000 0.5000 0.5000
10 Dy 0.3932 0.3932 0.0000
11 Dy 0.6068 0.6068 0.0000

Energy relative to the lowest polymorph listed for this composition ... 1.31 eV/f.u.
Theoretical density ... 7.65 g/cm3
Crystal system ... orthorhombic
Total energy ... -4.489 eV per atom
Calculated formation energy ... 177 meV/atom
Density of states at the Fermi level ... 14.54 states/eV/cell
Spin magnetization ... 0.0000 μB per atom

=====

Here is a relaxed structure of Tb3Pm5Dy4 from Alexandria via LeMat-Bulk. Energies are from PBE.

Cell: 5.6945 5.6945 14.9500 Å, 106.20 106.20 61.37°
Element x y z (fractional)
1 Tb 0.0000 0.0000 0.0000
2 Tb 0.2946 0.2946 0.7510
3 Tb 0.7054 0.7054 0.2490
4 Pm 0.0455 0.0455 0.2469
5 Pm 0.1677 0.1677 0.4991
6 Pm 0.5000 0.5000 0.0000
7 Pm 0.8323 0.8323 0.5009
8 Pm 0.9545 0.9545 0.7531
9 Dy 0.3227 0.3227 0.1426
10 Dy 0.4385 0.4385 0.3759
11 Dy 0.5615 0.5615 0.6241
12 Dy 0.6773 0.6773 0.8574

Energy relative to the lowest polymorph listed for this composition ... 2.53 eV/f.u.
Theoretical density ... 7.64 g/cm3
Crystal system ... monoclinic
Total energy ... -4.446 eV per atom
Calculated formation energy ... 225 meV/atom
Density of states at the Fermi level ... 18.91 states/eV/cell
Spin magnetization ... 0.0000 μB per atom

=====

Here is a relaxed structure of Tb8PmDy2 from Alexandria via LeMat-Bulk. Energies are from PBE.

Cell: 10.1713 10.1713 5.5643 Å, 92.86 92.86 40.00°
Element x y z (fractional)
1 Tb 0.0464 0.0464 0.2370
2 Tb 0.1008 0.6336 0.2680
3 Tb 0.3119 0.3119 0.7679
4 Tb 0.3664 0.8992 0.7320
5 Tb 0.6336 0.1008 0.2680
6 Tb 0.6881 0.6881 0.2321
7 Tb 0.8992 0.3664 0.7320
8 Tb 0.9536 0.9536 0.7630
9 Pm 0.5000 0.5000 0.0000
10 Dy 0.2157 0.2157 0.2525
11 Dy 0.7843 0.7843 0.7475

Energy relative to the lowest polymorph listed for this composition ... 0.45 eV/f.u.
Theoretical density ... 7.83 g/cm3
Crystal system ... monoclinic
Total energy ... -4.483 eV per atom
Calculated formation energy ... 153 meV/atom
Density of states at the Fermi level ... 17.95 states/eV/cell
Spin magnetization ... 0.0000 μB per atom